[1]
Sm2ThRhN4: optimized geometry, PBE-GGA.

## Properties
VASP energy in eV per atom: -8.202
SG: Cmcm (63)
Crystal system: orthorhombic
Density of states at the Fermi level in states/eV/cell: 5.3

Lattice parameters (Å, degrees): 6.216 6.216 11.853 90.00 90.00 147.69
Sites, in units of the cell vectors:
Sm1 0.129 0.871 0.551
Sm2 0.129 0.871 0.949
Sm3 0.871 0.129 0.051
Sm4 0.871 0.129 0.449
Th1 0.388 0.612 0.750
Th2 0.612 0.388 0.250
Rh1 0.350 0.650 0.250
Rh2 0.650 0.350 0.750
N1 0.043 0.957 0.750
N2 0.218 0.782 0.134
N3 0.218 0.782 0.366
N4 0.500 0.500 0.000
N5 0.500 0.500 0.500
N6 0.782 0.218 0.634
N7 0.782 0.218 0.866
N8 0.957 0.043 0.250

[2]
YSn2As2Pd7: optimized geometry, PBE-GGA.

## Properties
VASP energy in eV per atom: -5.471
SG: C2/m (12)
Crystal system: monoclinic
Density of states at the Fermi level in states/eV/cell: 4.7

Lattice parameters (Å, degrees): 4.210 4.210 12.676 94.25 94.25 89.44
Sites, in units of the cell vectors:
Y1 0.000 0.000 0.000
Sn1 0.068 0.068 0.337
Sn2 0.932 0.932 0.663
As1 0.442 0.442 0.721
As2 0.558 0.558 0.279
Pd1 0.033 0.536 0.164
Pd2 0.278 0.278 0.530
Pd3 0.464 0.967 0.836
Pd4 0.500 0.500 0.000
Pd5 0.536 0.033 0.164
Pd6 0.722 0.722 0.470
Pd7 0.967 0.464 0.836

[3]
SnBi2Au2: optimized geometry, PBE-GGA.

## Properties
VASP energy in eV per atom: -3.700
SG: P2_1/m (11)
E above lowest polymorph in kJ/mol of atoms: 0.0
Crystal system: monoclinic
Density of states at the Fermi level in states/eV/cell: 3.3

Lattice parameters (Å, degrees): 5.833 4.416 10.673 90.00 91.81 90.00
Sites, in units of the cell vectors:
Sn1 0.173 0.250 0.203
Sn2 0.827 0.750 0.797
Bi1 0.252 0.250 0.549
Bi2 0.420 0.250 0.853
Bi3 0.580 0.750 0.147
Bi4 0.748 0.750 0.451
Au1 0.167 0.750 0.982
Au2 0.227 0.750 0.370
Au3 0.773 0.250 0.630
Au4 0.833 0.250 0.018

[4]
LaTb5Sn6: optimized geometry, PBE-GGA.

## Properties
VASP energy in eV per atom: -4.974
SG: C2/m (12)
Crystal system: monoclinic
Density of states at the Fermi level in states/eV/cell: 8.6

Lattice parameters (Å, degrees): 8.370 8.370 7.464 95.25 95.25 136.59
Sites, in units of the cell vectors:
La1 0.000 0.000 0.000
Tb1 0.000 0.000 0.500
Tb2 0.326 0.674 0.000
Tb3 0.345 0.655 0.500
Tb4 0.655 0.345 0.500
Tb5 0.674 0.326 0.000
Sn1 0.162 0.819 0.270
Sn2 0.181 0.838 0.730
Sn3 0.484 0.484 0.768
Sn4 0.516 0.516 0.232
Sn5 0.819 0.162 0.270
Sn6 0.838 0.181 0.730

[5]
Co3IrW: optimized geometry, PBE-GGA.

## Properties
VASP energy in eV per atom: -6.854
SG: Pm-3m (221)
E above lowest polymorph in kJ/mol of atoms: 0.0
Crystal system: cubic
Density of states at the Fermi level in states/eV/cell: 8.5

Lattice parameters (Å, degrees): 4.346 4.346 4.346 90.00 90.00 90.00
Sites, in units of the cell vectors:
Co1 0.000 0.000 0.500
Co2 0.000 0.500 0.000
Co3 0.500 0.000 0.000
Ir1 0.500 0.500 0.500
W1 0.000 0.000 0.000

[6]
PaGa5Re: optimized geometry, PBE-GGA.

## Properties
VASP energy in eV per atom: -5.552
SG: P4/mmm (123)
Crystal system: tetragonal
Density of states at the Fermi level in states/eV/cell: 4.7

Lattice parameters (Å, degrees): 4.484 4.484 6.655 90.00 90.00 90.00
Sites, in units of the cell vectors:
Pa1 0.000 0.000 0.000
Ga1 0.000 0.500 0.305
Ga2 0.000 0.500 0.695
Ga3 0.500 0.000 0.305
Ga4 0.500 0.000 0.695
Ga5 0.500 0.500 0.000
Re1 0.000 0.000 0.500

What did the fifth record say?
Co3IrW: optimized geometry, PBE-GGA.

## Properties
VASP energy in eV per atom: -6.854
SG: Pm-3m (221)
E above lowest polymorph in kJ/mol of atoms: 0.0
Crystal system: cubic
Density of states at the Fermi level in states/eV/cell: 8.5

Lattice parameters (Å, degrees): 4.346 4.346 4.346 90.00 90.00 90.00
Sites, in units of the cell vectors:
Co1 0.000 0.000 0.500
Co2 0.000 0.500 0.000
Co3 0.500 0.000 0.000
Ir1 0.500 0.500 0.500
W1 0.000 0.000 0.000

> Among the records above, which one has the highest density of states at the Fermi level?

LaTb5Sn6